A relaxed KHgRu2 crystal. Source: Alexandria, functional PBE-GGA.

Cell and atoms, written as CIF:
```
data_KHgRu2
_cell_length_a 10.632
_cell_length_b 10.632
_cell_length_c 10.632
_cell_angle_alpha 155.23
_cell_angle_beta 155.23
_cell_angle_gamma 35.31
_symmetry_space_group_name_H-M 'P 1'
_symmetry_Int_Tables_number 1
loop_
_symmetry_equiv_pos_as_xyz
'x,y,z'
loop_
_atom_site_label
_atom_site_fract_x
_atom_site_fract_y
_atom_site_fract_z
K1 0.000 0.000 0.000
K2 0.750 0.250 0.500
Hg1 0.250 0.750 0.500
Hg2 0.500 0.500 0.000
Ru1 0.319 0.625 0.194
Ru2 0.375 0.569 0.694
Ru3 0.431 0.125 0.806
Ru4 0.875 0.681 0.306
```

Properties
As for the density: 6964 kg/m³. Its crystal system is tetragonal. The value obtained for the formation energy from the elements is 1017 meV/atom. The value obtained for the total energy is -3.971 eV/atom.

=====

A relaxed KHgRu2 crystal. Source: Alexandria, functional PBE-GGA.

Cell and atoms, written as CIF:
```
data_KHgRu2
_cell_length_a 5.645
_cell_length_b 5.645
_cell_length_c 5.645
_cell_angle_alpha 141.00
_cell_angle_beta 125.53
_cell_angle_gamma 69.01
_symmetry_space_group_name_H-M 'P 1'
_symmetry_Int_Tables_number 1
loop_
_symmetry_equiv_pos_as_xyz
'x,y,z'
loop_
_atom_site_label
_atom_site_fract_x
_atom_site_fract_y
_atom_site_fract_z
K1 0.000 0.000 0.000
Hg1 0.288 0.788 0.500
Ru1 0.570 0.570 0.000
Ru2 0.715 0.215 0.500
```

Properties
As for the density: 8100 kg/m³. Its crystal system is orthorhombic. The value obtained for the formation energy from the elements is 970 meV/atom. The value obtained for the total energy is -4.018 eV/atom.

=====

A relaxed K4HgRu crystal. Source: Alexandria, functional PBE-GGA.

Cell and atoms, written as CIF:
```
data_K4HgRu
_cell_length_a 7.094
_cell_length_b 7.094
_cell_length_c 7.094
_cell_angle_alpha 60.00
_cell_angle_beta 60.00
_cell_angle_gamma 60.00
_symmetry_space_group_name_H-M 'P 1'
_symmetry_Int_Tables_number 1
loop_
_symmetry_equiv_pos_as_xyz
'x,y,z'
loop_
_atom_site_label
_atom_site_fract_x
_atom_site_fract_y
_atom_site_fract_z
K1 0.124 0.124 0.124
K2 0.124 0.124 0.628
K3 0.124 0.628 0.124
K4 0.628 0.124 0.124
Hg1 0.500 0.500 0.500
Ru1 0.750 0.750 0.750
```

Properties
As for the density: 3013 kg/m³. Its crystal system is cubic. The value obtained for the formation energy from the elements is 911 meV/atom. The value obtained for the total energy is -1.417 eV/atom.

=====

A relaxed KHgRu2 crystal. Source: Alexandria, functional PBE-GGA.

Cell and atoms, written as CIF:
```
data_KHgRu2
_cell_length_a 4.280
_cell_length_b 4.280
_cell_length_c 8.064
_cell_angle_alpha 94.20
_cell_angle_beta 94.20
_cell_angle_gamma 38.39
_symmetry_space_group_name_H-M 'P 1'
_symmetry_Int_Tables_number 1
loop_
_symmetry_equiv_pos_as_xyz
'x,y,z'
loop_
_atom_site_label
_atom_site_fract_x
_atom_site_fract_y
_atom_site_fract_z
K1 0.000 0.000 0.000
Hg1 0.765 0.765 0.333
Ru1 0.237 0.237 0.689
Ru2 0.494 0.494 0.575
```

Properties
As for the density: 8024 kg/m³. Its crystal system is monoclinic. The value obtained for the formation energy from the elements is 562 meV/atom. The value obtained for the total energy is -4.425 eV/atom.

=====

A relaxed KHgRu crystal. Source: Alexandria, functional PBE-GGA.

Cell and atoms, written as CIF:
```
data_KHgRu
_cell_length_a 7.840
_cell_length_b 7.840
_cell_length_c 7.840
_cell_angle_alpha 157.69
_cell_angle_beta 157.69
_cell_angle_gamma 31.76
_symmetry_space_group_name_H-M 'P 1'
_symmetry_Int_Tables_number 1
loop_
_symmetry_equiv_pos_as_xyz
'x,y,z'
loop_
_atom_site_label
_atom_site_fract_x
_atom_site_fract_y
_atom_site_fract_z
K1 0.000 0.000 0.000
Hg1 0.694 0.694 0.000
Ru1 0.324 0.324 0.000
```

Properties
As for the density: 8153 kg/m³. Its crystal system is tetragonal. The value obtained for the formation energy from the elements is 785 meV/atom. As for the excess energy over the best structure of this formula in the dataset: 0.120 eV per atom. The value obtained for the total energy is -2.774 eV/atom.

=====

A relaxed KHgRu crystal. Source: Alexandria, functional PBE-GGA.

Cell and atoms, written as CIF:
```
data_KHgRu
_cell_length_a 4.897
_cell_length_b 4.897
_cell_length_c 4.897
_cell_angle_alpha 60.00
_cell_angle_beta 60.00
_cell_angle_gamma 60.00
_symmetry_space_group_name_H-M 'P 1'
_symmetry_Int_Tables_number 1
loop_
_symmetry_equiv_pos_as_xyz
'x,y,z'
loop_
_atom_site_label
_atom_site_fract_x
_atom_site_fract_y
_atom_site_fract_z
K1 0.000 0.000 0.000
Hg1 0.500 0.500 0.500
Ru1 0.750 0.750 0.750
```

Properties
As for the density: 6816 kg/m³. Its crystal system is cubic. The value obtained for the formation energy from the elements is 1139 meV/atom. As for the excess energy over the best structure of this formula in the dataset: 0.475 eV per atom. The value obtained for the total energy is -2.419 eV/atom.

=====

A relaxed KHgRu crystal. Source: Alexandria, functional PBE-GGA.

Cell and atoms, written as CIF:
```
data_KHgRu
_cell_length_a 5.251
_cell_length_b 5.251
_cell_length_c 2.807
_cell_angle_alpha 90.00
_cell_angle_beta 90.00
_cell_angle_gamma 120.00
_symmetry_space_group_name_H-M 'P 1'
_symmetry_Int_Tables_number 1
loop_
_symmetry_equiv_pos_as_xyz
'x,y,z'
loop_
_atom_site_label
_atom_site_fract_x
_atom_site_fract_y
_atom_site_fract_z
K1 0.000 0.000 0.000
Hg1 0.333 0.667 0.500
Ru1 0.667 0.333 0.500
```

Properties
As for the density: 8440 kg/m³. Its crystal system is hexagonal. The value obtained for the formation energy from the elements is 861 meV/atom. As for the excess energy over the best structure of this formula in the dataset: 0.197 eV per atom. The value obtained for the total energy is -2.697 eV/atom.

=====

A relaxed KHgRu2 crystal. Source: Alexandria, functional PBE-GGA.

Cell and atoms, written as CIF:
```
data_KHgRu2
_cell_length_a 2.865
_cell_length_b 5.104
_cell_length_c 5.297
_cell_angle_alpha 90.00
_cell_angle_beta 90.00
_cell_angle_gamma 90.00
_symmetry_space_group_name_H-M 'P 1'
_symmetry_Int_Tables_number 1
loop_
_symmetry_equiv_pos_as_xyz
'x,y,z'
loop_
_atom_site_label
_atom_site_fract_x
_atom_site_fract_y
_atom_site_fract_z
K1 0.000 0.000 0.000
Hg1 0.500 0.500 0.000
Ru1 0.000 0.500 0.500
Ru2 0.500 0.000 0.500
```

Properties
As for the density: 9472 kg/m³. Its crystal system is orthorhombic. The value obtained for the formation energy from the elements is 1067 meV/atom. The value obtained for the total energy is -3.920 eV/atom.

=====

Question: formation energy from the elements of number 7 (KHgRu)?
Answer: 861 meV/atom

=====

Question: Among the records above, which one has the lowest formation energy from the elements?
Answer: number 4